*a*
The following is a PBE-GGA calculation of crystalline PmTeCl at its relaxed geometry, from the Alexandria database.

Summary:
Density: 6.347 g/cm3
Crystal system: tetragonal
Total moment: 0.00 μB/f.u.
Volume: 26.9 Å³/atom

```
data_PmTeCl
_chemical_formula_sum 'Pm1 Te1 Cl1'
_cell_length_a 3.9218
_cell_length_b 3.9218
_cell_length_c 5.9286
_cell_angle_alpha 109.31
_cell_angle_beta 109.31
_cell_angle_gamma 90.00
_space_group_name_H-M_alt 'P 1'
_space_group_IT_number 1
_space_group_name_Hall 'P 1'
loop_
_atom_site_label
_atom_site_type_symbol
_atom_site_fract_x
_atom_site_fract_y
_atom_site_fract_z
Cl1 Cl 0.3127 0.3127 0.6254
Te1 Te 0.0112 0.0112 0.0224
Pm1 Pm 0.6761 0.6761 0.3522
```


*b*
The following is a PBE-GGA calculation of crystalline PmTeCl at its relaxed geometry, from the Alexandria database.

Summary:
Density: 5.319 g/cm3
Crystal system: cubic
Total moment: 0.00 μB/f.u.
Volume: 32.1 Å³/atom

```
data_PmTeCl
_chemical_formula_sum 'Pm1 Te1 Cl1'
_cell_length_a 5.1425
_cell_length_b 5.1425
_cell_length_c 5.1425
_cell_angle_alpha 60.00
_cell_angle_beta 60.00
_cell_angle_gamma 60.00
_space_group_name_H-M_alt 'P 1'
_space_group_IT_number 1
_space_group_name_Hall 'P 1'
loop_
_atom_site_label
_atom_site_type_symbol
_atom_site_fract_x
_atom_site_fract_y
_atom_site_fract_z
Cl1 Cl 0.5000 0.5000 0.5000
Te1 Te 0.0000 0.0000 0.0000
Pm1 Pm 0.2500 0.2500 0.2500
```


Of them, *b* has the highest stability.


*a*
The following is a PBE-GGA calculation of crystalline PmTeCl at its relaxed geometry, from the Alexandria database.

Summary:
Density: 6.052 g/cm3
Crystal system: hexagonal
Total moment: 0.00 μB/f.u.
Volume: 28.2 Å³/atom

```
data_PmTeCl
_chemical_formula_sum 'Pm1 Te1 Cl1'
_cell_length_a 4.2861
_cell_length_b 4.7719
_cell_length_c 4.7719
_cell_angle_alpha 120.00
_cell_angle_beta 90.00
_cell_angle_gamma 90.00
_space_group_name_H-M_alt 'P 1'
_space_group_IT_number 1
_space_group_name_Hall 'P 1'
loop_
_atom_site_label
_atom_site_type_symbol
_atom_site_fract_x
_atom_site_fract_y
_atom_site_fract_z
Cl1 Cl 0.1667 0.0000 0.0000
Te1 Te 0.6668 0.3333 0.6667
Pm1 Pm 0.1665 0.6667 0.3333
```


*b*
The following is a PBE-GGA calculation of crystalline PmTeCl at its relaxed geometry, from the Alexandria database.

Summary:
Density: 5.101 g/cm3
Crystal system: tetragonal
Total moment: 0.00 μB/f.u.
Volume: 33.4 Å³/atom

```
data_PmTeCl
_chemical_formula_sum 'Pm2 Te2 Cl2'
_cell_length_a 4.2398
_cell_length_b 4.2398
_cell_length_c 11.5529
_cell_angle_alpha 100.57
_cell_angle_beta 100.57
_cell_angle_gamma 90.00
_space_group_name_H-M_alt 'P 1'
_space_group_IT_number 1
_space_group_name_Hall 'P 1'
loop_
_atom_site_label
_atom_site_type_symbol
_atom_site_fract_x
_atom_site_fract_y
_atom_site_fract_z
Pm1 Pm 0.6002 0.1002 0.2004
Pm2 Pm 0.8998 0.3998 0.7996
Te1 Te 0.0492 0.5492 0.0983
Te2 Te 0.4508 0.9508 0.9017
Cl1 Cl 0.6828 0.6828 0.3656
Cl2 Cl 0.3172 0.3172 0.6344
```


Of them, *b* has the highest stability.